[1]
Here is a relaxed MgAg2Pt crystal from Alexandria. Energies are from PBEsol.

Output
E_form = -1.22 eV/f.u.
crystal system = orthorhombic

Unit cell a=2.9023 b=3.9134 c=5.7008 alpha=90.00 beta=90.00 gamma=90.00
Space group Pmm2 (No. 25)
Unique sites:
1 Mg 0.0000 0.0000 0.0000 x1
2 Ag 0.0000 0.0000 0.4831 x1
3 Ag 0.5000 0.5000 0.7258 x1
4 Pt 0.5000 0.5000 0.2193 x1

[2]
Here is a relaxed Mg2AgPt crystal from Alexandria. Energies are from PBEsol.

Output
E_form = -1.84 eV/f.u.
crystal system = monoclinic

Unit cell a=9.8087 b=2.9499 c=4.7500 alpha=90.00 beta=103.41 gamma=90.00
Space group Cm (No. 8)
Unique sites:
1 Mg 0.0000 0.0000 0.0000 x2
2 Mg 0.2228 0.0000 0.6444 x2
3 Ag 0.2497 0.5000 0.1668 x2
4 Pt 0.4856 0.0000 0.4988 x2

[3]
Here is a relaxed Mg2AgPt crystal from Alexandria. Energies are from PBEsol.

Output
E_form = -1.54 eV/f.u.
crystal system = cubic

Unit cell a=6.4394 b=6.4394 c=6.4394 alpha=90.00 beta=90.00 gamma=90.00
Space group F-43m (No. 216)
Unique sites:
1 Mg 0.0000 0.0000 0.0000 x4
2 Mg 0.2500 0.2500 0.2500 x4
3 Ag 0.2500 0.2500 0.7500 x4
4 Pt 0.0000 0.0000 0.5000 x4

[4]
Here is a relaxed Mg2AgPt crystal from Alexandria. Energies are from PBEsol.

Output
E_form = -2.19 eV/f.u.
crystal system = cubic

Unit cell a=6.3999 b=6.3999 c=6.3999 alpha=90.00 beta=90.00 gamma=90.00
Space group Fm-3m (No. 225)
Unique sites:
1 Mg 0.2500 0.2500 0.2500 x8
2 Ag 0.0000 0.0000 0.0000 x4
3 Pt 0.0000 0.0000 0.5000 x4

[5]
Here is a relaxed MgAg3Pt crystal from Alexandria. Energies are from PBEsol.

Output
E_form = 5.06 eV/f.u.
crystal system = cubic

Unit cell a=4.6233 b=4.6233 c=4.6233 alpha=90.00 beta=90.00 gamma=90.00
Space group Pm-3m (No. 221)
Unique sites:
1 Mg 0.0000 0.0000 0.0000 x1
2 Ag 0.0000 0.0000 0.5000 x3
3 Pt 0.5000 0.5000 0.5000 x1

[6]
Here is a relaxed Mg2AgPt crystal from Alexandria. Energies are from PBEsol.

Output
E_form = -2.07 eV/f.u.
crystal system = tetragonal

Unit cell a=4.5402 b=4.5402 c=3.1757 alpha=90.00 beta=90.00 gamma=90.00
Space group P4/mmm (No. 123)
Unique sites:
1 Mg 0.0000 0.5000 0.0000 x2
2 Ag 0.0000 0.0000 0.5000 x1
3 Pt 0.5000 0.5000 0.5000 x1

[7]
Here is a relaxed Mg2AgPt crystal from Alexandria. Energies are from PBEsol.

Output
E_form = -1.92 eV/f.u.
crystal system = tetragonal

Unit cell a=3.9304 b=3.9304 c=8.5341 alpha=90.00 beta=90.00 gamma=90.00
Space group I-4m2 (No. 119)
Unique sites:
1 Mg 0.0000 0.0000 0.0000 x2
2 Mg 0.0000 0.5000 0.2500 x2
3 Ag 0.0000 0.5000 0.7500 x2
4 Pt 0.0000 0.0000 0.5000 x2

[8]
Here is a relaxed MgAgPt crystal from Alexandria. Energies are from PBEsol.

Output
E_form = -0.01 eV/f.u.
crystal system = cubic

Unit cell a=6.1390 b=6.1390 c=6.1390 alpha=90.00 beta=90.00 gamma=90.00
Space group F-43m (No. 216)
Unique sites:
1 Mg 0.0000 0.0000 0.0000 x4
2 Ag 0.2500 0.2500 0.2500 x4
3 Pt 0.0000 0.0000 0.5000 x4